Entry a
First-principles (PBE+U) data for a relaxed PRhWO2 crystal, as listed in Alexandria.

Unit cell a=3.838 b=3.838 c=5.072 alpha=90.00 beta=90.00 gamma=90.00
Atoms (fractional coordinates):
P: 0.000 0.000 0.500
Rh: 0.000 0.000 0.000
O: 0.000 0.500 0.000
O: 0.500 0.000 0.000
W: 0.500 0.500 0.500

Results
Space-group type = P4/mmm (123)
ρ = 7.77 g cm⁻³

Entry b
First-principles (PBE+U) data for a relaxed PRhWO2 crystal, as listed in Alexandria.

Unit cell a=3.783 b=3.783 c=5.325 alpha=90.00 beta=90.00 gamma=90.00
Atoms (fractional coordinates):
W: 0.000 0.000 0.000
O: 0.000 0.500 0.000
O: 0.500 0.000 0.000
P: 0.000 0.000 0.500
Rh: 0.500 0.500 0.500

Results
Space-group type = P4/mmm (123)
ρ = 7.62 g cm⁻³

Which one sits at the bottom of the stability order? entry a does.